Entry from Alexandria via LeMat-Bulk: a geometry-optimized PaTl2I4Cl2 structure (GGA-PBE).

Geometry as POSCAR:
```
PaTl2I4Cl2
1.0
-6.545 3.401 -0.776
-3.598 0.237 7.385
0.347 7.089 4.142
Cl Tl I Pa
2 2 4 1
direct
0.200 0.169 0.169
0.800 0.831 0.831
0.710 0.277 0.277
0.290 0.723 0.723
0.310 0.659 0.164
0.310 0.164 0.659
0.690 0.836 0.341
0.690 0.341 0.836
0.500 0.000 0.000
```

Summary:
E: -33.79 eV/cell
M_tot: 1.004 μB/cell
Density of states at the Fermi level: 0.98 states/eV per cell
Symmetry: No. 12

***

Entry from Alexandria via LeMat-Bulk: a geometry-optimized La6TbPr2Er structure (GGA-PBE).

Geometry as POSCAR:
```
La6TbPr2Er
1.0
-6.957 6.201 0.263
-5.600 -5.971 -4.108
-0.104 -0.369 9.151
La Er Pr Tb
12 2 4 2
direct
0.596 0.781 0.072
0.319 0.035 0.472
0.681 0.965 0.528
0.181 0.528 0.965
0.090 0.724 0.425
0.910 0.276 0.575
0.096 0.072 0.781
0.819 0.472 0.035
0.590 0.425 0.724
0.404 0.219 0.928
0.410 0.575 0.276
0.904 0.928 0.219
0.750 0.565 0.435
0.250 0.435 0.565
0.938 0.704 0.793
0.562 0.207 0.296
0.438 0.793 0.704
0.062 0.296 0.207
0.250 0.928 0.072
0.750 0.072 0.928
```

Summary:
E: -94.40 eV/cell
M_tot: 0.000 μB/cell
Density of states at the Fermi level: 25.31 states/eV per cell
Symmetry: No. 15